No. 1
VASP calculation (PBE-GGA) on crystalline Ba7Cd2Ag2 at its relaxed geometry.

```
data_Ba7Cd2Ag2
_cell_length_a 9.2339
_cell_length_b 13.0282
_cell_length_c 8.4649
_cell_angle_alpha 90.00
_cell_angle_beta 90.00
_cell_angle_gamma 90.00
_space_group_name_H-M_alt 'C m m m'
_space_group_IT_number 65
_space_group_name_Hall '-C 2 2'
loop_
_atom_site_label
_atom_site_type_symbol
_atom_site_fract_x
_atom_site_fract_y
_atom_site_fract_z
Ba1 Ba 0.0000 0.0000 0.0000
Ba2 Ba 0.0000 0.5000 0.2574
Ba3 Ba 0.2500 0.2500 0.2710
Cd1 Cd 0.1619 0.0000 0.5000
Ag1 Ag 0.0000 0.2927 0.0000
```



No. 2
VASP calculation (PBE-GGA) on crystalline KFeP2 at its relaxed geometry.

Calculated values
Excess energy over the best structure of this formula in the dataset in meV/atom: 46

```
data_KFeP2
_cell_length_a 7.2667
_cell_length_b 3.6849
_cell_length_c 6.5352
_cell_angle_alpha 90.00
_cell_angle_beta 102.60
_cell_angle_gamma 90.00
_space_group_name_H-M_alt 'C 1 m 1'
_space_group_IT_number 8
loop_
_space_group_symop_operation_xyz
'x,y,z'
'x,-y,z'
'x+1/2,y+1/2,z'
'x+1/2,-y+1/2,z'
loop_
_atom_site_label
_atom_site_type_symbol
_atom_site_fract_x
_atom_site_fract_y
_atom_site_fract_z
K1 K 0.0000 0.0000 0.0000
Fe1 Fe 0.2161 0.5000 0.4532
P1 P 0.2359 0.0000 0.6239
P2 P 0.4038 0.0000 0.3774
```



No. 3
VASP calculation (PBE-GGA) on crystalline LaMgGa2Cu at its relaxed geometry.

```
data_LaMgGa2Cu
_cell_length_a 4.3360
_cell_length_b 4.3360
_cell_length_c 11.0542
_cell_angle_alpha 90.00
_cell_angle_beta 90.00
_cell_angle_gamma 90.00
_space_group_name_H-M_alt 'I -4 m 2'
_space_group_IT_number 119
_space_group_name_Hall 'I -4 -2'
loop_
_atom_site_label
_atom_site_type_symbol
_atom_site_fract_x
_atom_site_fract_y
_atom_site_fract_z
La1 La 0.0000 0.0000 0.0000
Mg1 Mg 0.0000 0.5000 0.2500
Ga1 Ga 0.0000 0.0000 0.3873
Cu1 Cu 0.0000 0.5000 0.7500
```



No. 4
VASP calculation (PBE-GGA) on crystalline In2Hg2Pb5 at its relaxed geometry.

Calculated values
Excess energy over the best structure of this formula in the dataset in meV/atom: 30

```
data_In2Hg2Pb5
_cell_length_a 19.4194
_cell_length_b 5.2940
_cell_length_c 10.3488
_cell_angle_alpha 90.00
_cell_angle_beta 90.00
_cell_angle_gamma 90.00
_space_group_name_H-M_alt 'I m a 2'
_space_group_IT_number 46
loop_
_space_group_symop_operation_xyz
'x,y,z'
'-x,-y,z'
'-x+1/2,y,z'
'x+1/2,-y,z'
'x+1/2,y+1/2,z+1/2'
'-x+1/2,-y+1/2,z+1/2'
'-x,y+1/2,z+1/2'
'x,-y+1/2,z+1/2'
loop_
_atom_site_label
_atom_site_type_symbol
_atom_site_fract_x
_atom_site_fract_y
_atom_site_fract_z
In1 In 0.0780 0.0012 0.0000
Hg1 Hg 0.0000 0.0000 0.3241
Hg2 Hg 0.2500 0.0018 0.7299
Pb1 Pb 0.0884 0.5013 0.1797
Pb2 Pb 0.1628 0.0000 0.3683
Pb3 Pb 0.2500 0.5027 0.5508
```



No. 5
VASP calculation (PBE-GGA) on crystalline MnIn2Ir at its relaxed geometry.

```
data_MnIn2Ir
_cell_length_a 6.5704
_cell_length_b 6.5704
_cell_length_c 6.5704
_cell_angle_alpha 90.00
_cell_angle_beta 90.00
_cell_angle_gamma 90.00
_space_group_name_H-M_alt 'F -4 3 m'
_space_group_IT_number 216
_space_group_name_Hall 'F -4 2 3'
loop_
_atom_site_label
_atom_site_type_symbol
_atom_site_fract_x
_atom_site_fract_y
_atom_site_fract_z
Mn1 Mn 0.0000 0.0000 0.0000
In1 In 0.0000 0.0000 0.5000
In2 In 0.2500 0.2500 0.2500
Ir1 Ir 0.2500 0.2500 0.7500
```



No. 6
VASP calculation (PBE-GGA) on crystalline SnOs at its relaxed geometry.

```
data_SnOs
_cell_length_a 10.5372
_cell_length_b 10.5372
_cell_length_c 4.1697
_cell_angle_alpha 90.00
_cell_angle_beta 90.00
_cell_angle_gamma 90.00
_space_group_name_H-M_alt 'I 4/m'
_space_group_IT_number 87
_space_group_name_Hall '-I 4'
loop_
_atom_site_label
_atom_site_type_symbol
_atom_site_fract_x
_atom_site_fract_y
_atom_site_fract_z
Sn1 Sn 0.0348 0.7084 0.0000
Os1 Os 0.2093 0.2868 0.0000
```



Number 1: total energy -2.012 eV/atom. Number 2: total energy -5.308 eV/atom. Number 3: total energy -3.749 eV/atom. Number 4: total energy -2.690 eV/atom. Number 5: total energy -5.677 eV/atom. Number 6: total energy -6.955 eV/atom.